ZnGaAgAu2: relaxed, PBE.

Properties
The formation enthalpy at 0 K comes out at -7.2 kJ/mol of atoms. As for the crystal system: orthorhombic. The calculation puts the density of states at the Fermi level at 0.247 states/eV/atom.

abc: 2.8987 14.2598 9.2167
angles: 90.00 90.00 90.00
With the nearest neighbours (Å) after each atom.
Space group Cmcm (No. 63)
Unique sites:
Zn  0.0000  0.0000  0.0000 [4 per cell]  4 Au 2.64, 2 Ag 2.84, 2 Zn 2.90
Ga  0.0000  0.2081  0.2500 [4 per cell]  4 Au 2.68, 2 Ag 2.89, 2 Ga 2.90
Ag  0.0000  0.1164  0.7500 [4 per cell]  2 Zn 2.84, 2 Ga 2.89, 2 Ag 2.90, 4 Au 2.94
Au  0.0000  0.3461  0.5209 [8 per cell]  2 Zn 2.64, 2 Ga 2.68, 2 Au 2.90, 2 Ag 2.94

***

Zn2GaAgAu: relaxed, PBE.

Properties
The formation enthalpy at 0 K comes out at 41.3 kJ/mol of atoms. As for the crystal system: tetragonal. The calculation puts the density of states at the Fermi level at 0.425 states/eV/atom.

abc: 4.8702 4.8702 5.2439
angles: 90.00 90.00 90.00
With the nearest neighbours (Å) after each atom.
Space group P4/mmm (No. 123)
Unique sites:
Zn  0.0000  0.5000  0.0000 [2 per cell]  2 Ag 2.44
Ga  0.0000  0.0000  0.5000 [1 per cell]  4 Au 3.44, 8 Zn 3.58
Ag  0.5000  0.5000  0.0000 [1 per cell]  4 Zn 2.44, 2 Au 2.62
Au  0.5000  0.5000  0.5000 [1 per cell]  2 Ag 2.62

***

ZrGaAgAu: relaxed, PBE.

Properties
The formation enthalpy at 0 K comes out at -32.2 kJ/mol of atoms. As for the crystal system: cubic. The calculation puts the density of states at the Fermi level at 0.390 states/eV/atom.

abc: 6.6530 6.6530 6.6530
angles: 90.00 90.00 90.00
With the nearest neighbours (Å) after each atom.
Space group F-43m (No. 216)
Unique sites:
Zr  0.0000  0.0000  0.0000 [4 per cell]  4 Ga 2.88, 4 Au 2.88
Ga  0.2500  0.2500  0.7500 [4 per cell]  4 Zr 2.88, 4 Ag 2.88
Ag  0.0000  0.0000  0.5000 [4 per cell]  4 Au 2.88, 4 Ga 2.88
Au  0.2500  0.2500  0.2500 [4 per cell]  4 Zr 2.88, 4 Ag 2.88

***

GdAgAu: relaxed, PBE.

Properties
The formation enthalpy at 0 K comes out at -55.1 kJ/mol of atoms. For the energy above the lowest structure with this stoichiometry, the calculation gives 0.00 eV per formula unit. As for the crystal system: tetragonal. The calculation puts the density of states at the Fermi level at 0.552 states/eV/atom.

abc: 3.7745 3.7745 9.2434
angles: 90.00 90.00 90.00
With the nearest neighbours (Å) after each atom.
Space group I4mm (No. 107)
Unique sites:
Gd  0.0000  0.0000  0.0000 [2 per cell]  5 Ag 3.01-3.12, 5 Au 3.06-3.13
Ag  0.0000  0.0000  0.6738 [2 per cell]  5 Gd 3.01-3.12, 5 Au 3.07-3.10
Au  0.0000  0.0000  0.3388 [2 per cell]  5 Gd 3.06-3.13, 5 Ag 3.07-3.10

***

Gd2AgAu: relaxed, PBE.

Properties
The formation enthalpy at 0 K comes out at -54.0 kJ/mol of atoms. As for the crystal system: trigonal. The calculation puts the density of states at the Fermi level at 0.342 states/eV/atom.

abc: 5.1655 5.1655 12.6608
angles: 90.00 90.00 120.00
With the nearest neighbours (Å) after each atom.
Space group R3m (No. 160, hexagonal axes)
Unique sites:
Gd  0.0000  0.0000  0.0000 [3 per cell]  4 Ag 3.15-3.17, 4 Au 3.16-3.17
Gd  0.0000  0.0000  0.4999 [3 per cell]  4 Ag 3.16-3.18, 4 Au 3.16-3.17
Ag  0.0000  0.0000  0.2489 [3 per cell]  8 Gd 3.15-3.18
Au  0.0000  0.0000  0.7504 [3 per cell]  8 Gd 3.16-3.17

***

GdAgAu: relaxed, PBE.

Properties
The formation enthalpy at 0 K comes out at -42.5 kJ/mol of atoms. For the energy above the lowest structure with this stoichiometry, the calculation gives 0.39 eV per formula unit. As for the crystal system: cubic. The calculation puts the density of states at the Fermi level at 0.987 states/eV/atom.

abc: 6.7547 6.7547 6.7547
angles: 90.00 90.00 90.00
With the nearest neighbours (Å) after each atom.
Space group F-43m (No. 216)
Unique sites:
Gd  0.0000  0.0000  0.0000 [4 per cell]  4 Au 2.92
Ag  0.0000  0.0000  0.5000 [4 per cell]  4 Au 2.92
Au  0.2500  0.2500  0.7500 [4 per cell]  4 Gd 2.92, 4 Ag 2.92

***

Gd2AgAu: relaxed, PBE.

Properties
The formation enthalpy at 0 K comes out at -55.2 kJ/mol of atoms. As for the crystal system: tetragonal. The calculation puts the density of states at the Fermi level at 1.040 states/eV/atom.

abc: 3.6495 3.6495 7.3021
angles: 90.00 90.00 90.00
With the nearest neighbours (Å) after each atom.
Space group P4/mmm (No. 123)
Unique sites:
Gd  0.0000  0.0000  0.2443 [2 per cell]  4 Au 3.14, 4 Ag 3.19
Ag  0.5000  0.5000  0.5000 [1 per cell]  8 Gd 3.19
Au  0.5000  0.5000  0.0000 [1 per cell]  8 Gd 3.14

***

GdAgAu: relaxed, PBE.

Properties
The formation enthalpy at 0 K comes out at -51.4 kJ/mol of atoms. For the energy above the lowest structure with this stoichiometry, the calculation gives 0.12 eV per formula unit. As for the crystal system: hexagonal. The calculation puts the density of states at the Fermi level at 0.699 states/eV/atom.

abc: 4.7519 4.7519 3.4605
angles: 90.00 90.00 120.00
With the nearest neighbours (Å) after each atom.
Space group P-6m2 (No. 187)
Unique sites:
Gd  0.0000  0.0000  0.0000 [1 per cell]  6 Ag 3.24, 6 Au 3.24, 2 Gd 3.46
Ag  0.6667  0.3333  0.5000 [1 per cell]  3 Au 2.74
Au  0.3333  0.6667  0.5000 [1 per cell]  3 Ag 2.74

***

GdAgGeAu: relaxed, PBE.

Properties
The formation enthalpy at 0 K comes out at -43.8 kJ/mol of atoms. As for the crystal system: cubic. The calculation puts the density of states at the Fermi level at 0.625 states/eV/atom.

abc: 6.9135 6.9135 6.9135
angles: 90.00 90.00 90.00
With the nearest neighbours (Å) after each atom.
Space group F-43m (No. 216)
Unique sites:
Gd  0.0000  0.0000  0.0000 [4 per cell]  4 Ge 2.99, 4 Au 2.99
Ag  0.0000  0.0000  0.5000 [4 per cell]  4 Ge 2.99, 4 Au 2.99
Ge  0.2500  0.2500  0.2500 [4 per cell]  4 Gd 2.99, 4 Ag 2.99
Au  0.2500  0.2500  0.7500 [4 per cell]  4 Gd 2.99, 4 Ag 2.99

***

GdInAgAu: relaxed, PBE.

Properties
The formation enthalpy at 0 K comes out at -51.3 kJ/mol of atoms. As for the crystal system: cubic. The calculation puts the density of states at the Fermi level at 0.449 states/eV/atom.

abc: 7.0397 7.0397 7.0397
angles: 90.00 90.00 90.00
With the nearest neighbours (Å) after each atom.
Space group F-43m (No. 216)
Unique sites:
Gd  0.0000  0.0000  0.0000 [4 per cell]  4 Au 3.05, 4 Ag 3.05
In  0.0000  0.0000  0.5000 [4 per cell]  4 Ag 3.05, 4 Au 3.05
Ag  0.2500  0.2500  0.7500 [4 per cell]  4 Gd 3.05, 4 In 3.05
Au  0.2500  0.2500  0.2500 [4 per cell]  4 Gd 3.05, 4 In 3.05

***

GdLuAgAu: relaxed, PBE.

Properties
The formation enthalpy at 0 K comes out at -56.5 kJ/mol of atoms. As for the crystal system: cubic. The calculation puts the density of states at the Fermi level at 0.802 states/eV/atom.

abc: 7.1957 7.1957 7.1957
angles: 90.00 90.00 90.00
With the nearest neighbours (Å) after each atom.
Space group F-43m (No. 216)
Unique sites:
Gd  0.0000  0.0000  0.0000 [4 per cell]  4 Au 3.12, 4 Ag 3.12
Lu  0.0000  0.0000  0.5000 [4 per cell]  4 Ag 3.12, 4 Au 3.12
Ag  0.2500  0.2500  0.7500 [4 per cell]  4 Gd 3.12, 4 Lu 3.12
Au  0.2500  0.2500  0.2500 [4 per cell]  4 Gd 3.12, 4 Lu 3.12

***

GdMgAgAu: relaxed, PBE.

Properties
The formation enthalpy at 0 K comes out at -50.6 kJ/mol of atoms. As for the crystal system: cubic. The calculation puts the density of states at the Fermi level at 0.936 states/eV/atom.

abc: 7.0240 7.0240 7.0240
angles: 90.00 90.00 90.00
With the nearest neighbours (Å) after each atom.
Space group F-43m (No. 216)
Unique sites:
Gd  0.0000  0.0000  0.0000 [4 per cell]  4 Ag 3.04, 4 Au 3.04
Mg  0.0000  0.0000  0.5000 [4 per cell]  4 Ag 3.04, 4 Au 3.04
Ag  0.2500  0.2500  0.2500 [4 per cell]  4 Gd 3.04, 4 Mg 3.04
Au  0.2500  0.2500  0.7500 [4 per cell]  4 Gd 3.04, 4 Mg 3.04

***

NdGdAgAu: relaxed, PBE.

Properties
The formation enthalpy at 0 K comes out at -51.7 kJ/mol of atoms. As for the crystal system: cubic. The calculation puts the density of states at the Fermi level at 1.090 states/eV/atom.

abc: 7.3864 7.3864 7.3864
angles: 90.00 90.00 90.00
With the nearest neighbours (Å) after each atom.
Space group F-43m (No. 216)
Unique sites:
Nd  0.0000  0.0000  0.0000 [4 per cell]  4 Au 3.20, 4 Ag 3.20
Gd  0.0000  0.0000  0.5000 [4 per cell]  4 Ag 3.20, 4 Au 3.20
Ag  0.2500  0.2500  0.7500 [4 per cell]  4 Gd 3.20, 4 Nd 3.20
Au  0.2500  0.2500  0.2500 [4 per cell]  4 Gd 3.20, 4 Nd 3.20

***

GdNiAgAu: relaxed, PBE.

Properties
The formation enthalpy at 0 K comes out at -28.8 kJ/mol of atoms. As for the crystal system: cubic. The calculation puts the density of states at the Fermi level at 0.527 states/eV/atom.

abc: 6.7547 6.7547 6.7547
angles: 90.00 90.00 90.00
With the nearest neighbours (Å) after each atom.
Space group F-43m (No. 216)
Unique sites:
Gd  0.0000  0.0000  0.0000 [4 per cell]  4 Ni 2.92, 4 Au 2.92
Ni  0.2500  0.2500  0.2500 [4 per cell]  4 Gd 2.92, 4 Ag 2.92
Ag  0.0000  0.0000  0.5000 [4 per cell]  4 Ni 2.92, 4 Au 2.92
Au  0.2500  0.2500  0.7500 [4 per cell]  4 Gd 2.92, 4 Ag 2.92

***

GdPaAgAu: relaxed, PBE.

Properties
The formation enthalpy at 0 K comes out at -15.4 kJ/mol of atoms. As for the crystal system: cubic. The calculation puts the density of states at the Fermi level at 1.886 states/eV/atom.

abc: 7.2717 7.2717 7.2717
angles: 90.00 90.00 90.00
With the nearest neighbours (Å) after each atom.
Space group F-43m (No. 216)
Unique sites:
Gd  0.0000  0.0000  0.0000 [4 per cell]  4 Au 3.15, 4 Ag 3.15
Pa  0.0000  0.0000  0.5000 [4 per cell]  4 Ag 3.15, 4 Au 3.15
Ag  0.2500  0.2500  0.7500 [4 per cell]  4 Gd 3.15, 4 Pa 3.15
Au  0.2500  0.2500  0.2500 [4 per cell]  4 Gd 3.15, 4 Pa 3.15